No. 1
A relaxed AcYRh2 crystal. Source: Alexandria via LeMat-Bulk, functional GGA-PBE.

```
data_AcYRh2
_cell_length_a 3.551
_cell_length_b 3.551
_cell_length_c 7.243
_cell_angle_alpha 90.00
_cell_angle_beta 90.00
_cell_angle_gamma 90.00
_symmetry_space_group_name_H-M 'P 4/m m m'
_symmetry_Int_Tables_number 123
_symmetry_space_group_name_Hall '-P 4 2'
loop_
_atom_site_label
_atom_site_type_symbol
_atom_site_fract_x
_atom_site_fract_y
_atom_site_fract_z
_atom_site_occupancy
Ac1 Ac 0.000 0.000 0.000 1
Y1 Y 0.000 0.000 0.500 1
Rh1 Rh 0.500 0.500 0.275 1
```

Computed properties:
* energy: -6.960 eV per atom
* crystal system: tetragonal
* mass density: 9.48 g/cm3
* polymorph energy (0 for the lowest one): 61 meV per atom
* energy relative to the elements: -640.9 meV per atom

No. 2
A relaxed ZnIn2HgO crystal. Source: Alexandria via LeMat-Bulk, functional GGA-PBE.

```
data_ZnIn2HgO
_cell_length_a 5.180
_cell_length_b 5.180
_cell_length_c 4.971
_cell_angle_alpha 90.00
_cell_angle_beta 90.00
_cell_angle_gamma 90.00
_symmetry_space_group_name_H-M 'P 4/m m m'
_symmetry_Int_Tables_number 123
_symmetry_space_group_name_Hall '-P 4 2'
loop_
_atom_site_label
_atom_site_type_symbol
_atom_site_fract_x
_atom_site_fract_y
_atom_site_fract_z
_atom_site_occupancy
Zn1 Zn 0.000 0.000 0.000 1
In1 In 0.000 0.500 0.000 1
Hg1 Hg 0.000 0.000 0.500 1
O1 O 0.500 0.500 0.500 1
```

Computed properties:
* energy: -1.950 eV per atom
* crystal system: tetragonal
* mass density: 6.37 g/cm3
* formation energy without anion corrections: 2.3 eV/f.u.

No. 3
A relaxed ErGe2Ru crystal. Source: Alexandria via LeMat-Bulk, functional GGA-PBE.

```
data_ErGe2Ru
_cell_length_a 4.206
_cell_length_b 9.058
_cell_length_c 15.925
_cell_angle_alpha 90.00
_cell_angle_beta 90.00
_cell_angle_gamma 90.00
_symmetry_space_group_name_H-M 'I m m m'
_symmetry_Int_Tables_number 71
_symmetry_space_group_name_Hall '-I 2 2'
loop_
_atom_site_label
_atom_site_type_symbol
_atom_site_fract_x
_atom_site_fract_y
_atom_site_fract_z
_atom_site_occupancy
Er1 Er 0.000 0.000 0.208 1
Er2 Er 0.000 0.241 0.000 1
Ge1 Ge 0.000 0.000 0.419 1
Ge2 Ge 0.000 0.343 0.201 1
Ge3 Ge 0.000 0.500 0.422 1
Ru1 Ru 0.000 0.250 0.358 1
```

Computed properties:
* energy: -6.390 eV per atom
* crystal system: orthorhombic
* mass density: 9.06 g/cm3
* energy relative to the elements: -621.5 meV per atom

No. 4
A relaxed IrPdBr2 crystal. Source: Alexandria via LeMat-Bulk, functional GGA-PBE.

```
data_IrPdBr2
_cell_length_a 6.619
_cell_length_b 6.619
_cell_length_c 6.619
_cell_angle_alpha 90.00
_cell_angle_beta 90.00
_cell_angle_gamma 90.00
_symmetry_space_group_name_H-M 'F m -3 m'
_symmetry_Int_Tables_number 225
_symmetry_space_group_name_Hall '-F 4 2 3'
loop_
_atom_site_label
_atom_site_type_symbol
_atom_site_fract_x
_atom_site_fract_y
_atom_site_fract_z
_atom_site_occupancy
Ir1 Ir 0.000 0.000 0.000 1
Pd1 Pd 0.000 0.000 0.500 1
Br1 Br 0.250 0.250 0.250 1
```

Computed properties:
* energy: -3.490 eV per atom
* crystal system: cubic
* mass density: 10.50 g/cm3
* formation energy without anion corrections: 3.4 eV/f.u.
* polymorph energy (0 for the lowest one): 292 meV per atom

No. 5
A relaxed ZrTi3S crystal. Source: Alexandria via LeMat-Bulk, functional GGA-PBE.

```
data_ZrTi3S
_cell_length_a 4.545
_cell_length_b 4.545
_cell_length_c 4.545
_cell_angle_alpha 90.00
_cell_angle_beta 90.00
_cell_angle_gamma 90.00
_symmetry_space_group_name_H-M 'P m -3 m'
_symmetry_Int_Tables_number 221
_symmetry_space_group_name_Hall '-P 4 2 3'
loop_
_atom_site_label
_atom_site_type_symbol
_atom_site_fract_x
_atom_site_fract_y
_atom_site_fract_z
_atom_site_occupancy
Zr1 Zr 0.000 0.000 0.000 1
Ti1 Ti 0.000 0.500 0.500 1
S1 S 0.500 0.500 0.500 1
```

Computed properties:
* energy: -7.719 eV per atom
* crystal system: cubic
* mass density: 4.72 g/cm3
* formation energy without anion corrections: -2.2 eV/f.u.
* polymorph energy (0 for the lowest one): 0 meV per atom

No. 6
A relaxed CsSiAgO3 crystal. Source: Alexandria via LeMat-Bulk, functional GGA-PBE.

```
data_CsSiAgO3
_cell_length_a 12.854
_cell_length_b 6.266
_cell_length_c 7.792
_cell_angle_alpha 90.00
_cell_angle_beta 117.36
_cell_angle_gamma 90.00
_symmetry_space_group_name_H-M 'C 1 2/m 1'
_symmetry_Int_Tables_number 12
_symmetry_space_group_name_Hall '-C 2y'
loop_
_atom_site_label
_atom_site_type_symbol
_atom_site_fract_x
_atom_site_fract_y
_atom_site_fract_z
_atom_site_occupancy
Cs1 Cs 0.182 0.000 0.157 1
Si1 Si 0.032 0.500 0.876 1
Ag1 Ag 0.000 0.256 0.500 1
O1 O 0.060 0.278 0.798 1
O2 O 0.101 0.500 0.123 1
```

Computed properties:
* energy: -5.851 eV per atom
* crystal system: monoclinic
* mass density: 3.78 g/cm3
* formation energy without anion corrections: -11.1 eV/f.u.

No. 7
A relaxed LiSmPa2O8 crystal. Source: Alexandria via LeMat-Bulk, functional GGA-PBE.

```
data_LiSmPa2O8
_cell_length_a 5.6659
_cell_length_b 5.6659
_cell_length_c 5.6557
_cell_angle_alpha 90.00
_cell_angle_beta 90.00
_cell_angle_gamma 120.00
_symmetry_space_group_name_H-M 'P -3'
_symmetry_Int_Tables_number 147
_symmetry_space_group_name_Hall '-P 3'
loop_
_atom_site_label
_atom_site_type_symbol
_atom_site_fract_x
_atom_site_fract_y
_atom_site_fract_z
_atom_site_occupancy
Li1 Li 0.0000 0.0000 0.0000 1
Sm1 Sm 0.0000 0.0000 0.5000 1
Pa1 Pa 0.3333 0.6667 0.9031 1
O1 O 0.0582 0.3338 0.1788 1
O2 O 0.3333 0.6667 0.5560 1
```

Computed properties:
* energy: -8.056 eV per atom
* crystal system: trigonal
* mass density: 7.89 g/cm3
* formation energy without anion corrections: -31.4 eV/f.u.

No. 8
A relaxed Mg14GaNi crystal. Source: Alexandria via LeMat-Bulk, functional GGA-PBE.

```
data_Mg14GaNi
_cell_length_a 10.085
_cell_length_b 6.296
_cell_length_c 10.652
_cell_angle_alpha 90.00
_cell_angle_beta 90.00
_cell_angle_gamma 90.00
_symmetry_space_group_name_H-M 'A m m 2'
_symmetry_Int_Tables_number 38
_symmetry_space_group_name_Hall 'A 2 -2'
loop_
_atom_site_label
_atom_site_type_symbol
_atom_site_fract_x
_atom_site_fract_y
_atom_site_fract_z
_atom_site_occupancy
Mg1 Mg 0.000 0.000 0.000 1
Mg2 Mg 0.000 0.000 0.499 1
Mg3 Mg 0.000 0.248 0.254 1
Mg4 Mg 0.247 0.000 0.670 1
Mg5 Mg 0.255 0.000 0.169 1
Mg6 Mg 0.277 0.242 0.925 1
Mg7 Mg 0.500 0.249 0.232 1
Ga1 Ga 0.500 0.000 0.500 1
Ni1 Ni 0.500 0.000 0.011 1
```

Computed properties:
* energy: -1.955 eV per atom
* crystal system: orthorhombic
* mass density: 2.30 g/cm3
* energy relative to the elements: -9.4 meV per atom

No. 9
A relaxed InAgTe2 crystal. Source: Alexandria via LeMat-Bulk, functional GGA-PBE.

```
data_InAgTe2
_cell_length_a 6.564
_cell_length_b 6.564
_cell_length_c 12.982
_cell_angle_alpha 90.00
_cell_angle_beta 90.00
_cell_angle_gamma 90.00
_symmetry_space_group_name_H-M 'I -4 2 d'
_symmetry_Int_Tables_number 122
_symmetry_space_group_name_Hall 'I -4 2bw'
loop_
_atom_site_label
_atom_site_type_symbol
_atom_site_fract_x
_atom_site_fract_y
_atom_site_fract_z
_atom_site_occupancy
In1 In 0.000 0.000 0.000 1
Ag1 Ag 0.000 0.000 0.500 1
Te1 Te 0.245 0.250 0.625 1
```

Computed properties:
* energy: -3.254 eV per atom
* crystal system: tetragonal
* mass density: 5.67 g/cm3
* formation energy without anion corrections: -1.1 eV/f.u.

No. 10
A relaxed SnTeMoN2 crystal. Source: Alexandria via LeMat-Bulk, functional GGA-PBE.

```
data_SnTeMoN2
_cell_length_a 4.134
_cell_length_b 4.134
_cell_length_c 6.097
_cell_angle_alpha 90.00
_cell_angle_beta 90.00
_cell_angle_gamma 90.00
_symmetry_space_group_name_H-M 'P 4/m m m'
_symmetry_Int_Tables_number 123
_symmetry_space_group_name_Hall '-P 4 2'
loop_
_atom_site_label
_atom_site_type_symbol
_atom_site_fract_x
_atom_site_fract_y
_atom_site_fract_z
_atom_site_occupancy
Sn1 Sn 0.000 0.000 0.000 1
Te1 Te 0.000 0.000 0.500 1
Mo1 Mo 0.500 0.500 0.500 1
N1 N 0.000 0.500 0.000 1
```

Computed properties:
* energy: -5.269 eV per atom
* crystal system: tetragonal
* mass density: 5.90 g/cm3
* formation energy without anion corrections: 8.3 eV/f.u.
* polymorph energy (0 for the lowest one): 1110 meV per atom

No. 11
A relaxed NbIrW3 crystal. Source: Alexandria via LeMat-Bulk, functional GGA-PBE.

```
data_NbIrW3
_cell_length_a 4.674
_cell_length_b 4.674
_cell_length_c 4.674
_cell_angle_alpha 90.00
_cell_angle_beta 90.00
_cell_angle_gamma 90.00
_symmetry_space_group_name_H-M 'P m -3 m'
_symmetry_Int_Tables_number 221
_symmetry_space_group_name_Hall '-P 4 2 3'
loop_
_atom_site_label
_atom_site_type_symbol
_atom_site_fract_x
_atom_site_fract_y
_atom_site_fract_z
_atom_site_occupancy
Nb1 Nb 0.000 0.000 0.000 1
Ir1 Ir 0.500 0.500 0.500 1
W1 W 0.000 0.000 0.500 1
```

Computed properties:
* energy: -9.117 eV per atom
* crystal system: cubic
* mass density: 13.61 g/cm3
* polymorph energy (0 for the lowest one): 614 meV per atom
* energy relative to the elements: 2441.5 meV per atom

No. 12
A relaxed TbThZnCu crystal. Source: Alexandria via LeMat-Bulk, functional GGA-PBE.

```
data_TbThZnCu
_cell_length_a 7.168
_cell_length_b 7.168
_cell_length_c 7.168
_cell_angle_alpha 90.00
_cell_angle_beta 90.00
_cell_angle_gamma 90.00
_symmetry_space_group_name_H-M 'F -4 3 m'
_symmetry_Int_Tables_number 216
_symmetry_space_group_name_Hall 'F -4 2 3'
loop_
_atom_site_label
_atom_site_type_symbol
_atom_site_fract_x
_atom_site_fract_y
_atom_site_fract_z
_atom_site_occupancy
Tb1 Tb 0.000 0.000 0.000 1
Th1 Th 0.000 0.000 0.500 1
Zn1 Zn 0.250 0.250 0.750 1
Cu1 Cu 0.250 0.250 0.250 1
```

Computed properties:
* energy: -4.520 eV per atom
* crystal system: cubic
* mass density: 9.38 g/cm3
* energy relative to the elements: -164.9 meV per atom

No. 13
A relaxed NaInC crystal. Source: Alexandria via LeMat-Bulk, functional GGA-PBE.

```
data_NaInC
_cell_length_a 8.839
_cell_length_b 6.612
_cell_length_c 5.932
_cell_angle_alpha 90.00
_cell_angle_beta 90.00
_cell_angle_gamma 90.00
_symmetry_space_group_name_H-M 'P n m a'
_symmetry_Int_Tables_number 62
_symmetry_space_group_name_Hall '-P 2ac 2n'
loop_
_atom_site_label
_atom_site_type_symbol
_atom_site_fract_x
_atom_site_fract_y
_atom_site_fract_z
_atom_site_occupancy
Na1 Na 0.148 0.250 0.057 1
In1 In 0.000 0.000 0.500 1
C1 C 0.079 0.750 0.677 1
```

Computed properties:
* energy: -3.431 eV per atom
* crystal system: orthorhombic
* mass density: 2.87 g/cm3
* energy relative to the elements: 995.7 meV per atom

No. 14
A relaxed KP2Pt crystal. Source: Alexandria via LeMat-Bulk, functional GGA-PBE.

```
data_KP2Pt
_cell_length_a 6.604
_cell_length_b 6.604
_cell_length_c 6.604
_cell_angle_alpha 90.00
_cell_angle_beta 90.00
_cell_angle_gamma 90.00
_symmetry_space_group_name_H-M 'F m -3 m'
_symmetry_Int_Tables_number 225
_symmetry_space_group_name_Hall '-F 4 2 3'
loop_
_atom_site_label
_atom_site_type_symbol
_atom_site_fract_x
_atom_site_fract_y
_atom_site_fract_z
_atom_site_occupancy
K1 K 0.000 0.000 0.000 1
P1 P 0.250 0.250 0.250 1
Pt1 Pt 0.000 0.000 0.500 1
```

Computed properties:
* energy: -4.092 eV per atom
* crystal system: cubic
* mass density: 6.83 g/cm3
* polymorph energy (0 for the lowest one): 824 meV per atom
* energy relative to the elements: 397.5 meV per atom

No. 15
A relaxed SrLiSc2S4 crystal. Source: Alexandria via LeMat-Bulk, functional GGA-PBE.

```
data_SrLiSc2S4
_cell_length_a 3.850
_cell_length_b 12.657
_cell_length_c 13.114
_cell_angle_alpha 90.00
_cell_angle_beta 90.00
_cell_angle_gamma 90.00
_symmetry_space_group_name_H-M 'C m c m'
_symmetry_Int_Tables_number 63
_symmetry_space_group_name_Hall '-C 2c 2'
loop_
_atom_site_label
_atom_site_type_symbol
_atom_site_fract_x
_atom_site_fract_y
_atom_site_fract_z
_atom_site_occupancy
Sr1 Sr 0.000 0.119 0.250 1
Li1 Li 0.000 0.154 0.750 1
Sc1 Sc 0.000 0.374 0.055 1
S1 S 0.000 0.000 0.000 1
S2 S 0.000 0.266 0.611 1
S3 S 0.000 0.443 0.250 1
```

Computed properties:
* energy: -5.945 eV per atom
* crystal system: orthorhombic
* mass density: 3.25 g/cm3
* formation energy without anion corrections: -14.8 eV/f.u.

No. 16
A relaxed NaCePd2 crystal. Source: Alexandria via LeMat-Bulk, functional GGA-PBE.

```
data_NaCePd2
_cell_length_a 3.6616
_cell_length_b 3.6616
_cell_length_c 27.9348
_cell_angle_alpha 90.00
_cell_angle_beta 90.00
_cell_angle_gamma 120.00
_symmetry_space_group_name_H-M 'R -3 m'
_symmetry_Int_Tables_number 166
_symmetry_space_group_name_Hall '-R 3 2"'
loop_
_atom_site_label
_atom_site_type_symbol
_atom_site_fract_x
_atom_site_fract_y
_atom_site_fract_z
_atom_site_occupancy
Na1 Na 0.0000 0.0000 0.0000 1
Ce1 Ce 0.0000 0.0000 0.5000 1
Pd1 Pd 0.0000 0.0000 0.1019 1
```

Computed properties:
* energy: -4.530 eV per atom
* crystal system: trigonal
* mass density: 5.77 g/cm3
* energy relative to the elements: -120.7 meV per atom

No. 17
A relaxed ZrAgTe2 crystal. Source: Alexandria via LeMat-Bulk, functional GGA-PBE.

```
data_ZrAgTe2
_cell_length_a 6.652
_cell_length_b 6.652
_cell_length_c 12.502
_cell_angle_alpha 90.00
_cell_angle_beta 90.00
_cell_angle_gamma 90.00
_symmetry_space_group_name_H-M 'I -4 2 d'
_symmetry_Int_Tables_number 122
_symmetry_space_group_name_Hall 'I -4 2bw'
loop_
_atom_site_label
_atom_site_type_symbol
_atom_site_fract_x
_atom_site_fract_y
_atom_site_fract_z
_atom_site_occupancy
Zr1 Zr 0.000 0.000 0.000 1
Ag1 Ag 0.000 0.000 0.500 1
Te1 Te 0.250 0.250 0.125 1
```

Computed properties:
* energy: -4.696 eV per atom
* crystal system: tetragonal
* mass density: 5.45 g/cm3
* formation energy without anion corrections: -1.1 eV/f.u.

No. 18
A relaxed Rb2UI8 crystal. Source: Alexandria via LeMat-Bulk, functional GGA-PBE.

```
data_Rb2UI8
_cell_length_a 18.189
_cell_length_b 7.912
_cell_length_c 8.592
_cell_angle_alpha 90.00
_cell_angle_beta 102.36
_cell_angle_gamma 90.00
_symmetry_space_group_name_H-M 'C 1 2/m 1'
_symmetry_Int_Tables_number 12
_symmetry_space_group_name_Hall '-C 2y'
loop_
_atom_site_label
_atom_site_type_symbol
_atom_site_fract_x
_atom_site_fract_y
_atom_site_fract_z
_atom_site_occupancy
Rb1 Rb 0.159 0.000 0.083 1
U1 U 0.000 0.000 0.500 1
I1 I 0.009 0.254 0.747 1
I2 I 0.164 0.000 0.546 1
I3 I 0.174 0.500 0.079 1
```

Computed properties:
* energy: -3.215 eV per atom
* crystal system: monoclinic
* mass density: 3.92 g/cm3
* formation energy without anion corrections: -9.7 eV/f.u.
* polymorph energy (0 for the lowest one): 0 meV per atom